Record 1
VASP calculation (PBE) on crystalline HfTi2B6 at its relaxed geometry.

a b c (Å): 3.347 5.315 5.315
angles (deg): 120.00 90.00 90.00
Atoms (fractional coordinates):
B 0.500 0.000 0.663
B 0.500 0.663 0.663
B 0.500 0.000 0.337
B 0.500 0.337 0.000
B 0.500 0.663 0.000
B 0.500 0.337 0.337
Ti 0.000 0.667 0.333
Ti 0.000 0.333 0.667
Hf 0.000 0.000 0.000

=====

Record 2
VASP calculation (PBE) on crystalline Hf2TiB2 at its relaxed geometry.

## Properties
energy above the lowest structure with this stoichiometry = 0.000 eV per atom

a b c (Å): 3.383 5.069 5.069
angles (deg): 60.16 70.51 70.51
Atoms (fractional coordinates):
B 0.500 0.319 0.681
B 0.500 0.681 0.319
Hf 0.803 0.697 0.697
Hf 0.197 0.303 0.303
Ti 0.000 0.000 0.000

=====

Record 3
VASP calculation (PBE) on crystalline HfTi2B2 at its relaxed geometry.

a b c (Å): 6.238 6.238 3.283
angles (deg): 90.00 90.00 90.00
Atoms (fractional coordinates):
B 0.900 0.600 0.000
B 0.600 0.100 0.000
B 0.100 0.400 0.000
B 0.400 0.900 0.000
Ti 0.176 0.676 0.500
Ti 0.324 0.176 0.500
Ti 0.824 0.324 0.500
Ti 0.676 0.824 0.500
Hf 0.500 0.500 0.000
Hf 0.000 0.000 0.000

=====

Record 4
VASP calculation (PBE) on crystalline Hf3TiB at its relaxed geometry.

## Properties
energy above the lowest structure with this stoichiometry = 1.721 eV per atom

a b c (Å): 4.817 4.817 4.817
angles (deg): 90.00 90.00 90.00
Atoms (fractional coordinates):
Hf 0.000 0.500 0.000
Hf 0.500 0.000 0.000
Hf 0.000 0.000 0.500
Ti 0.000 0.000 0.000
B 0.500 0.500 0.500

=====

Record 5
VASP calculation (PBE) on crystalline HfTiB3 at its relaxed geometry.

## Properties
energy above the lowest structure with this stoichiometry = 2.222 eV per atom

a b c (Å): 4.208 4.208 4.208
angles (deg): 90.00 90.00 90.00
Atoms (fractional coordinates):
B 0.000 0.000 0.500
B 0.000 0.500 0.000
B 0.500 0.000 0.000
Hf 0.000 0.000 0.000
Ti 0.500 0.500 0.500

=====

Record 6
VASP calculation (PBE) on crystalline HfTi2B at its relaxed geometry.

a b c (Å): 7.186 7.186 5.650
angles (deg): 50.51 50.51 90.00
Atoms (fractional coordinates):
Hf 0.750 0.250 0.500
Hf 0.000 0.000 0.000
Ti 0.875 0.804 0.750
Ti 0.554 0.125 0.250
Ti 0.196 0.625 0.250
Ti 0.375 0.446 0.750
B 0.250 0.750 0.500
B 0.500 0.500 0.000

=====

Record 7
VASP calculation (PBE) on crystalline Hf2TiTlB at its relaxed geometry.

a b c (Å): 4.600 4.600 4.388
angles (deg): 90.00 90.00 90.00
Atoms (fractional coordinates):
Hf 0.000 0.500 0.000
Hf 0.500 0.000 0.000
B 0.000 0.000 0.000
Ti 0.000 0.000 0.500
Tl 0.500 0.500 0.500

=====

Record 8
VASP calculation (PBE) on crystalline HfTi2TlB at its relaxed geometry.

a b c (Å): 4.379 4.379 4.568
angles (deg): 90.00 90.00 90.00
Atoms (fractional coordinates):
Ti 0.000 0.500 0.000
Ti 0.500 0.000 0.000
Hf 0.000 0.000 0.500
Tl 0.500 0.500 0.500
B 0.000 0.000 0.000

=====

Record 9
VASP calculation (PBE) on crystalline YHfTiB2 at its relaxed geometry.

a b c (Å): 4.419 4.558 4.419
angles (deg): 90.00 90.00 90.00
Atoms (fractional coordinates):
Hf 0.000 0.500 0.000
Y 0.500 0.500 0.500
B 0.500 0.000 0.000
B 0.000 0.000 0.500
Ti 0.000 0.000 0.000

=====

Record 10
VASP calculation (PBE) on crystalline Hf2Tl2B at its relaxed geometry.

## Properties
energy above the lowest structure with this stoichiometry = 0.000 eV per atom

a b c (Å): 6.476 6.476 4.913
angles (deg): 90.00 90.00 90.00
Atoms (fractional coordinates):
Hf 0.166 0.666 0.500
Hf 0.334 0.166 0.500
Hf 0.666 0.834 0.500
Hf 0.834 0.334 0.500
Tl 0.656 0.156 0.000
Tl 0.344 0.844 0.000
Tl 0.156 0.344 0.000
Tl 0.844 0.656 0.000
B 0.000 0.000 0.000
B 0.500 0.500 0.000

=====

Record 11
VASP calculation (PBE) on crystalline Hf6TlB at its relaxed geometry.

a b c (Å): 5.689 7.056 5.588
angles (deg): 70.15 79.01 50.96
Atoms (fractional coordinates):
Hf 0.126 0.278 0.735
Hf 0.493 0.283 0.104
Hf 0.871 0.900 0.704
Hf 0.129 0.100 0.296
Hf 0.874 0.722 0.265
Hf 0.507 0.717 0.896
B 0.000 0.000 0.000
Tl 0.500 0.500 0.500

=====

Record 12
VASP calculation (PBE) on crystalline HfTlB2 at its relaxed geometry.

## Properties
energy above the lowest structure with this stoichiometry = 0.000 eV per atom

a b c (Å): 6.299 6.299 5.485
angles (deg): 54.96 54.96 90.00
Atoms (fractional coordinates):
Tl 0.000 0.000 0.000
Tl 0.750 0.250 0.500
B 0.875 0.877 0.750
B 0.375 0.373 0.750
B 0.627 0.125 0.250
B 0.123 0.625 0.250
Hf 0.500 0.500 0.000
Hf 0.250 0.750 0.500

=====

Record 13
VASP calculation (PBE) on crystalline Hf5Tl2B2 at its relaxed geometry.

a b c (Å): 6.612 6.598 8.367
angles (deg): 90.00 66.73 90.00
Atoms (fractional coordinates):
Hf 0.212 0.179 0.207
Hf 0.288 0.679 0.793
Hf 0.419 0.179 0.793
Hf 0.500 0.500 0.000
Hf 0.919 0.321 0.793
Hf 0.788 0.821 0.793
Hf 0.712 0.321 0.207
Hf 0.000 0.000 0.000
Hf 0.081 0.679 0.207
Hf 0.581 0.821 0.207
Tl 0.733 0.500 0.533
Tl 0.267 0.500 0.467
Tl 0.233 0.000 0.533
Tl 0.767 0.000 0.467
B 0.602 0.105 0.000
B 0.898 0.605 0.000
B 0.398 0.895 0.000
B 0.102 0.395 0.000

=====

Record 14
VASP calculation (PBE) on crystalline Hf6Tl3B at its relaxed geometry.

a b c (Å): 5.756 7.914 9.626
angles (deg): 90.00 88.74 90.00
Atoms (fractional coordinates):
Tl 0.103 0.604 0.228
Tl 0.000 0.000 0.500
Tl 0.897 0.396 0.772
Tl 0.603 0.896 0.728
Tl 0.397 0.104 0.272
Tl 0.500 0.500 0.000
Hf 0.147 0.354 0.456
Hf 0.352 0.560 0.719
Hf 0.902 0.727 0.935
Hf 0.098 0.273 0.065
Hf 0.353 0.854 0.044
Hf 0.852 0.940 0.219
Hf 0.648 0.440 0.281
Hf 0.853 0.646 0.544
Hf 0.148 0.060 0.781
Hf 0.598 0.227 0.565
Hf 0.647 0.146 0.956
Hf 0.402 0.773 0.435
B 0.000 0.000 0.000
B 0.500 0.500 0.500

=====

Record 15
VASP calculation (PBE) on crystalline Hf2Tl2B at its relaxed geometry.

## Properties
energy above the lowest structure with this stoichiometry = 0.416 eV per atom

a b c (Å): 3.942 3.942 8.273
angles (deg): 76.22 76.22 90.00
Atoms (fractional coordinates):
Hf 0.750 0.250 0.500
Hf 0.250 0.750 0.500
B 0.000 0.000 0.000
Tl 0.409 0.409 0.181
Tl 0.591 0.591 0.819

=====

Record 16
VASP calculation (PBE) on crystalline HfTlB2 at its relaxed geometry.

## Properties
energy above the lowest structure with this stoichiometry = 0.285 eV per atom

a b c (Å): 4.365 4.365 4.365
angles (deg): 60.00 60.00 60.00
Atoms (fractional coordinates):
Hf 0.000 0.000 0.000
B 0.750 0.750 0.750
B 0.250 0.250 0.250
Tl 0.500 0.500 0.500

=====

Record 17
VASP calculation (PBE) on crystalline HfTlB3 at its relaxed geometry.

## Properties
energy above the lowest structure with this stoichiometry = 0.000 eV per atom

a b c (Å): 4.585 4.585 4.585
angles (deg): 90.00 90.00 90.00
Atoms (fractional coordinates):
B 0.000 0.000 0.500
B 0.500 0.000 0.000
B 0.000 0.500 0.000
Hf 0.000 0.000 0.000
Tl 0.500 0.500 0.500

=====

Record 18
VASP calculation (PBE) on crystalline HfTlB3 at its relaxed geometry.

## Properties
energy above the lowest structure with this stoichiometry = 0.660 eV per atom

a b c (Å): 4.377 4.377 4.377
angles (deg): 90.00 90.00 90.00
Atoms (fractional coordinates):
B 0.000 0.500 0.000
B 0.000 0.000 0.500
B 0.500 0.000 0.000
Hf 0.500 0.500 0.500
Tl 0.000 0.000 0.000

=====

Record 19
VASP calculation (PBE) on crystalline HfZr2TlB at its relaxed geometry.

a b c (Å): 4.676 4.676 4.618
angles (deg): 90.00 90.00 90.00
Atoms (fractional coordinates):
Zr 0.000 0.500 0.000
Zr 0.500 0.000 0.000
Tl 0.500 0.500 0.500
Hf 0.000 0.000 0.500
B 0.000 0.000 0.000

=====

Record 20
VASP calculation (PBE) on crystalline HfUB4 at its relaxed geometry.

a b c (Å): 3.445 3.445 6.133
angles (deg): 106.31 106.31 90.00
Atoms (fractional coordinates):
B 0.584 0.584 0.168
B 0.416 0.416 0.832
B 0.671 0.171 0.342
B 0.829 0.329 0.658
U 0.000 0.000 0.000
Hf 0.250 0.750 0.500

=====

Record 21
VASP calculation (PBE) on crystalline Hf2VB2 at its relaxed geometry.

## Properties
energy above the lowest structure with this stoichiometry = 0.014 eV per atom

a b c (Å): 3.342 4.933 4.933
angles (deg): 61.00 70.20 70.20
Atoms (fractional coordinates):
Hf 0.793 0.707 0.707
Hf 0.207 0.293 0.293
B 0.500 0.689 0.311
B 0.500 0.311 0.689
V 0.000 0.000 0.000

=====

Record 22
VASP calculation (PBE) on crystalline HfVB2 at its relaxed geometry.

## Properties
energy above the lowest structure with this stoichiometry = 0.183 eV per atom

a b c (Å): 3.250 3.250 5.518
angles (deg): 72.87 72.87 60.00
Atoms (fractional coordinates):
B 0.738 0.738 0.785
B 0.262 0.262 0.215
V 0.000 0.000 0.000
Hf 0.500 0.500 0.500

=====

Record 23
VASP calculation (PBE) on crystalline Hf3VB7 at its relaxed geometry.

a b c (Å): 3.265 7.631 9.043
angles (deg): 90.00 90.00 102.35
Atoms (fractional coordinates):
B 0.634 0.267 0.651
B 0.366 0.733 0.151
B 0.484 0.967 0.408
B 0.516 0.033 0.592
B 0.634 0.267 0.849
B 0.442 0.883 0.750
B 0.273 0.546 0.032
B 0.727 0.454 0.532
B 0.558 0.117 0.250
B 0.727 0.454 0.968
B 0.366 0.733 0.349
B 0.484 0.967 0.092
B 0.273 0.546 0.468
B 0.516 0.033 0.908
Hf 0.753 0.506 0.250
Hf 0.893 0.785 0.555
Hf 0.893 0.785 0.945
Hf 0.107 0.215 0.055
Hf 0.247 0.494 0.750
Hf 0.107 0.215 0.445
V 0.048 0.097 0.750
V 0.952 0.903 0.250

=====

Record 24
VASP calculation (PBE) on crystalline HfV4B2 at its relaxed geometry.

a b c (Å): 3.425 3.417 7.426
angles (deg): 103.30 90.00 90.00
Atoms (fractional coordinates):
Hf 0.000 0.000 0.000
V 0.500 0.830 0.660
V 0.000 0.670 0.340
V 0.500 0.170 0.340
V 0.000 0.330 0.660
B 0.500 0.561 0.122
B 0.500 0.439 0.878

=====

Record 25
VASP calculation (PBE) on crystalline HfV2B4 at its relaxed geometry.

a b c (Å): 3.061 3.231 7.113
angles (deg): 103.13 102.43 90.00
Atoms (fractional coordinates):
Hf 0.500 0.000 0.000
B 0.071 0.571 0.141
B 0.929 0.429 0.859
B 0.359 0.359 0.719
B 0.641 0.641 0.281
V 0.189 0.189 0.377
V 0.811 0.811 0.623

=====

no.,DFT formation energy (eV per formula unit),electronic total energy (eV per atom)
1,-9.15,-8.33
2,-2.78,-8.79
3,-2.29,-8.28
4,8.66,-7.16
5,6.67,-6.24
6,0.54,-7.97
7,-1.37,-7.64
8,-1.39,-7.23
9,4.55,-6.62
10,4.22,-5.42
11,0.06,-8.59
12,3.45,-5.56
13,-1.57,-7.71
14,0.42,-7.31
15,6.30,-5.00
16,4.59,-5.27
17,8.09,-4.85
18,11.40,-4.19
19,-1.53,-7.52
20,-3.07,-8.50
21,-2.75,-9.03
22,-1.57,-8.50
23,-10.06,-8.71
24,-3.06,-8.98
25,-5.88,-8.68